Here is a relaxed SrIn5Ga2 crystal from Alexandria. Energies are from PBE.

Unit cell a=4.6355 b=7.2365 c=7.2365 alpha=78.72 beta=71.32 gamma=71.32
Sites, in units of the cell vectors:
In: 0.3461 0.8455 0.4624
In: 0.6539 0.1545 0.5376
In: 0.6539 0.5376 0.1545
In: 0.3461 0.4624 0.8455
In: 0.0000 0.5000 0.5000
Ga: 0.2693 0.2307 0.2307
Ga: 0.7307 0.7693 0.7693
Sr: 0.0000 0.0000 0.0000

Calculated values
Final energy in eV per cell: -22.544
Energy of formation in meV per atom: -139
M_tot in μB/f.u.: 0.0
SG: Immm